Entry 1:
Computed, not measured: a geometry-optimized Pr6PuTl5 structure at the PBE-GGA level of DFT.

Values from the calculation:
Electronic total energy ... -4.8452 eV/atom
SG ... No. 71
Calculated volume ... 30.50 A^3/atom
ρ ... 9.58 Mg/m³

a = 5.5997 Å, b = 7.7556 Å, c = 9.6893 Å
α = 113.59°, β = 106.80°, γ = 90.00°
Closest atoms and distances in Å follow each position.
Fractional coordinates of all 12 atoms:
1 Pr 0.8324 0.5818 0.6648  7 Tl 3.40-3.49, 1 Pu 3.43
2 Pr 0.8324 0.0830 0.6648  7 Tl 3.40-3.49, 1 Pu 3.43
3 Pr 0.5000 0.7484 0.0000  6 Tl 3.33-3.41, 2 Pu 3.41
4 Pr 0.5000 0.2516 0.0000  6 Tl 3.33-3.41, 2 Pu 3.41
5 Pr 0.1676 0.9170 0.3352  7 Tl 3.40-3.49, 1 Pu 3.43
6 Pr 0.1676 0.4182 0.3352  7 Tl 3.40-3.49, 1 Pu 3.43
7 Tl 0.6598 0.1598 0.3196  8 Pr 3.33-3.49
8 Tl 0.3334 0.3334 0.6667  8 Pr 3.40-3.41
9 Tl 0.0000 0.5000 0.0000  8 Pr 3.40-3.42
10 Tl 0.6666 0.6666 0.3333  8 Pr 3.40-3.41
11 Tl 0.3402 0.8402 0.6804  8 Pr 3.33-3.49
12 Pu 0.0000 0.0000 0.0000  8 Pr 3.41-3.43



Entry 2:
Computed, not measured: a geometry-optimized Pr5PuTl6 structure at the PBE-GGA level of DFT.

Values from the calculation:
Electronic total energy ... -4.6832 eV/atom
SG ... No. 71
Calculated volume ... 30.12 A^3/atom
ρ ... 9.99 Mg/m³

a = 5.5441 Å, b = 7.8185 Å, c = 9.6179 Å
α = 113.98°, β = 106.75°, γ = 90.00°
Closest atoms and distances in Å follow each position.
Fractional coordinates of all 12 atoms:
1 Pr 0.6624 0.1624 0.3249  8 Tl 3.35-3.45
2 Pr 0.3315 0.3315 0.6631  8 Tl 3.38-3.41
3 Pr 0.0000 0.5000 0.0000  8 Tl 3.38-3.39
4 Pr 0.6685 0.6685 0.3369  8 Tl 3.38-3.41
5 Pr 0.3376 0.8376 0.6751  8 Tl 3.35-3.45
6 Tl 0.8332 0.5816 0.6665  7 Pr 3.38-3.45, 1 Pu 3.41
7 Tl 0.8333 0.0848 0.6665  7 Pr 3.38-3.45, 1 Pu 3.41
8 Tl 0.5000 0.7474 0.0000  6 Pr 3.35-3.41, 2 Pu 3.40
9 Tl 0.5000 0.2526 0.0000  6 Pr 3.35-3.41, 2 Pu 3.40
10 Tl 0.1667 0.9152 0.3335  7 Pr 3.38-3.45, 1 Pu 3.41
11 Tl 0.1668 0.4184 0.3335  7 Pr 3.38-3.45, 1 Pu 3.41
12 Pu 0.0000 0.0000 0.0000  8 Tl 3.40-3.41



Entry 3:
Computed, not measured: a geometry-optimized PrPuTl2 structure at the PBE-GGA level of DFT.

Values from the calculation:
Electronic total energy ... -6.1135 eV/atom
SG ... No. 225
Calculated volume ... 29.49 A^3/atom
ρ ... 11.17 Mg/m³

a = 5.5050 Å, b = 5.5050 Å, c = 5.5050 Å
α = 60.00°, β = 60.00°, γ = 60.00°
Closest atoms and distances in Å follow each position.
Fractional coordinates of all 4 atoms:
1 Pr 0.5000 0.5000 0.5000  8 Tl 3.37
2 Tl 0.2500 0.2500 0.2500  4 Pr 3.37, 4 Pu 3.37
3 Tl 0.7500 0.7500 0.7500  4 Pr 3.37, 4 Pu 3.37
4 Pu 0.0000 0.0000 0.0000  8 Tl 3.37



Entry 4:
Computed, not measured: a geometry-optimized PrPuTl2 structure at the PBE-GGA level of DFT.

Values from the calculation:
Electronic total energy ... -6.1360 eV/atom
SG ... No. 123
Calculated volume ... 28.93 A^3/atom
ρ ... 11.39 Mg/m³

a = 4.5419 Å, b = 5.0477 Å, c = 5.0477 Å
α = 90.00°, β = 90.00°, γ = 90.00°
Closest atoms and distances in Å follow each position.
Fractional coordinates of all 4 atoms:
1 Pr 0.5000 0.0000 0.0000  8 Tl 3.40, 4 Pu 3.57
2 Tl 0.0000 0.0000 0.5000  4 Pu 3.40, 4 Pr 3.40, 4 Tl 3.57
3 Tl 0.0000 0.5000 0.0000  4 Pu 3.40, 4 Pr 3.40, 4 Tl 3.57
4 Pu 0.5000 0.5000 0.5000  8 Tl 3.40, 4 Pr 3.57



Entry 5:
Computed, not measured: a geometry-optimized Pr2PuTl structure at the PBE-GGA level of DFT.

Values from the calculation:
Electronic total energy ... -6.5496 eV/atom
SG ... No. 225
Calculated volume ... 30.71 A^3/atom
ρ ... 9.87 Mg/m³

a = 5.5796 Å, b = 5.5796 Å, c = 5.5796 Å
α = 60.00°, β = 60.00°, γ = 60.00°
Closest atoms and distances in Å follow each position.
Fractional coordinates of all 4 atoms:
1 Pr 0.2500 0.2500 0.2500  4 Pu 3.42, 4 Tl 3.42
2 Pr 0.7500 0.7500 0.7500  4 Tl 3.42, 4 Pu 3.42
3 Tl 0.0000 0.0000 0.0000  8 Pr 3.42
4 Pu 0.5000 0.5000 0.5000  8 Pr 3.42



Entry 6:
Computed, not measured: a geometry-optimized Pr2PuTl4 structure at the PBE-GGA level of DFT.

Values from the calculation:
Electronic total energy ... -4.8867 eV/atom
SG ... No. 123
Calculated volume ... 32.03 A^3/atom
ρ ... 9.95 Mg/m³

a = 5.4135 Å, b = 5.4135 Å, c = 7.6508 Å
α = 90.00°, β = 90.00°, γ = 90.00°
Closest atoms and distances in Å follow each position.
Fractional coordinates of all 7 atoms:
1 Pr 0.0000 0.0000 0.0000  8 Tl 3.39
2 Pr 0.5000 0.5000 0.5000  8 Tl 3.25
3 Pu 0.5000 0.5000 0.0000  8 Tl 3.39
4 Tl 0.5000 0.0000 0.2660  4 Pr 3.25-3.39, 2 Pu 3.39, 1 Tl 3.58
5 Tl 0.0000 0.5000 0.7340  4 Pr 3.25-3.39, 2 Pu 3.39, 1 Tl 3.58
6 Tl 0.5000 0.0000 0.7340  4 Pr 3.25-3.39, 2 Pu 3.39, 1 Tl 3.58
7 Tl 0.0000 0.5000 0.2660  4 Pr 3.25-3.39, 2 Pu 3.39, 1 Tl 3.58



Entry 7:
Computed, not measured: a geometry-optimized Pr12PuTl3 structure at the PBE-GGA level of DFT.

Values from the calculation:
Electronic total energy ... -5.0465 eV/atom
SG ... No. 123
Calculated volume ... 32.26 A^3/atom
ρ ... 8.20 Mg/m³

a = 5.0251 Å, b = 5.0251 Å, c = 20.4377 Å
α = 90.00°, β = 90.00°, γ = 90.00°
Closest atoms and distances in Å follow each position.
Fractional coordinates of all 16 atoms:
1 Pr 0.5000 0.5000 0.0000  4 Pu 3.55, 8 Pr 3.61
2 Pr 0.5000 0.5000 0.2512  4 Tl 3.55, 8 Pr 3.57-3.58
3 Pr 0.5000 0.5000 0.5000  4 Tl 3.55, 8 Pr 3.57
4 Pr 0.5000 0.5000 0.7488  4 Tl 3.55, 8 Pr 3.57-3.58
5 Pr 0.5000 0.0000 0.1270  8 Pr 3.55-3.61, 2 Tl 3.61, 2 Pu 3.61
6 Pr 0.5000 0.0000 0.3759  4 Tl 3.54-3.57, 8 Pr 3.55-3.58
7 Pr 0.5000 0.0000 0.6241  4 Tl 3.54-3.57, 8 Pr 3.55-3.58
8 Pr 0.5000 0.0000 0.8730  8 Pr 3.55-3.61, 2 Tl 3.61, 2 Pu 3.61
9 Pr 0.0000 0.5000 0.1270  8 Pr 3.55-3.61, 2 Tl 3.61, 2 Pu 3.61
10 Pr 0.0000 0.5000 0.3759  4 Tl 3.54-3.57, 8 Pr 3.55-3.58
11 Pr 0.0000 0.5000 0.6241  4 Tl 3.54-3.57, 8 Pr 3.55-3.58
12 Pr 0.0000 0.5000 0.8730  8 Pr 3.55-3.61, 2 Tl 3.61, 2 Pu 3.61
13 Pu 0.0000 0.0000 0.0000  12 Pr 3.55-3.61
14 Tl 0.0000 0.0000 0.2536  12 Pr 3.54-3.61
15 Tl 0.0000 0.0000 0.5000  12 Pr 3.55-3.57
16 Tl 0.0000 0.0000 0.7464  12 Pr 3.54-3.61



Entry 8:
Computed, not measured: a geometry-optimized Pr2PuTl structure at the PBE-GGA level of DFT.

Values from the calculation:
Electronic total energy ... -6.3757 eV/atom
SG ... No. 166
Calculated volume ... 32.33 A^3/atom
ρ ... 9.38 Mg/m³

a = 3.5055 Å, b = 3.5055 Å, c = 12.3191 Å
α = 81.82°, β = 81.82°, γ = 60.00°
Closest atoms and distances in Å follow each position.
Fractional coordinates of all 4 atoms:
1 Pr 0.0911 0.0911 0.7266  1 Pu 3.32, 3 Tl 3.42, 6 Pr 3.51
2 Pr 0.9089 0.9089 0.2734  1 Pu 3.32, 3 Tl 3.42, 6 Pr 3.51
3 Tl 0.5000 0.5000 0.5000  6 Pr 3.42, 6 Tl 3.51
4 Pu 0.0000 0.0000 0.0000  2 Pr 3.32, 6 Pu 3.51



Entry 9:
Computed, not measured: a geometry-optimized Pr2PuTl structure at the PBE-GGA level of DFT.

Values from the calculation:
Electronic total energy ... -6.6240 eV/atom
SG ... No. 123
Calculated volume ... 31.25 A^3/atom
ρ ... 9.70 Mg/m³

a = 3.7444 Å, b = 3.7444 Å, c = 8.9146 Å
α = 90.00°, β = 90.00°, γ = 90.00°
Closest atoms and distances in Å follow each position.
Fractional coordinates of all 4 atoms:
1 Pr 0.0000 0.0000 0.7628  4 Tl 3.39, 4 Pu 3.54, 4 Pr 3.74
2 Pr 0.0000 0.0000 0.2372  4 Tl 3.39, 4 Pu 3.54, 4 Pr 3.74
3 Tl 0.5000 0.5000 0.0000  8 Pr 3.39, 4 Tl 3.74
4 Pu 0.5000 0.5000 0.5000  8 Pr 3.54, 4 Pu 3.74



Entry 10:
Computed, not measured: a geometry-optimized PrPuTl4 structure at the PBE-GGA level of DFT.

Values from the calculation:
Electronic total energy ... -4.7675 eV/atom
SG ... No. 216
Calculated volume ... 28.96 A^3/atom
ρ ... 11.49 Mg/m³

a = 6.2638 Å, b = 6.2638 Å, c = 6.2638 Å
α = 60.00°, β = 60.00°, γ = 60.00°
Closest atoms and distances in Å follow each position.
Fractional coordinates of all 6 atoms:
1 Pr 0.2500 0.2500 0.2500  12 Tl 3.67, 4 Pu 3.84
2 Tl 0.6250 0.6250 0.1251  6 Tl 3.13
3 Tl 0.6250 0.1251 0.6250  6 Tl 3.13
4 Tl 0.6250 0.6250 0.6250  6 Tl 3.13
5 Tl 0.1251 0.6250 0.6250  6 Tl 3.13
6 Pu 0.0000 0.0000 0.0000  12 Tl 3.67, 4 Pr 3.84



Entry 11:
Computed, not measured: a geometry-optimized PrPu2Tl structure at the PBE-GGA level of DFT.

Values from the calculation:
Electronic total energy ... -8.8239 eV/atom
SG ... No. 123
Calculated volume ... 29.56 A^3/atom
ρ ... 11.70 Mg/m³

a = 4.2116 Å, b = 4.2116 Å, c = 6.6666 Å
α = 90.00°, β = 90.00°, γ = 90.00°
Closest atoms and distances in Å follow each position.
Fractional coordinates of all 4 atoms:
1 Pr 0.5000 0.5000 0.5000  2 Tl 3.33, 8 Pu 3.48
2 Tl 0.5000 0.5000 0.0000  2 Pr 3.33, 8 Pu 3.35
3 Pu 0.0000 0.0000 0.7702  1 Pu 3.06, 4 Tl 3.35
4 Pu 0.0000 0.0000 0.2298  1 Pu 3.06, 4 Tl 3.35



Entry 12:
Computed, not measured: a geometry-optimized Pr2PuTl structure at the PBE-GGA level of DFT.

Values from the calculation:
Electronic total energy ... -6.6432 eV/atom
SG ... No. 123
Calculated volume ... 30.25 A^3/atom
ρ ... 10.02 Mg/m³

a = 4.6840 Å, b = 5.0827 Å, c = 5.0827 Å
α = 90.00°, β = 90.00°, γ = 90.00°
Closest atoms and distances in Å follow each position.
Fractional coordinates of all 4 atoms:
1 Pr 0.0000 0.0000 0.5000  4 Pu 3.46, 4 Tl 3.46, 4 Pr 3.59
2 Pr 0.0000 0.5000 0.0000  4 Pu 3.46, 4 Tl 3.46, 4 Pr 3.59
3 Tl 0.5000 0.0000 0.0000  8 Pr 3.46, 4 Pu 3.59
4 Pu 0.5000 0.5000 0.5000  8 Pr 3.46, 4 Tl 3.59